# 1
! Tl3TeS6, optimized geometry, DFT PBE; values from VASP
&SYSTEM
  ibrav = 0, nat = 20, ntyp = 3
/
ATOMIC_SPECIES
Tl 204.38 Tl.upf
Te 127.60 Te.upf
S 32.06 S.upf
ATOMIC_POSITIONS crystal
Tl 0.959 0.654 0.888
Te 0.559 0.821 0.179
S 0.594 0.113 0.887
Tl 0.959 0.112 0.346
S 0.696 0.336 0.368
S 0.196 0.368 0.336
S 0.677 0.599 0.101
S 0.177 0.401 0.899
Tl 0.459 0.888 0.654
S 0.177 0.101 0.599
S 0.728 0.226 0.774
Te 0.059 0.179 0.821
S 0.696 0.632 0.664
S 0.196 0.664 0.632
S 0.677 0.899 0.401
Tl 0.940 0.512 0.488
Tl 0.459 0.346 0.112
S 0.228 0.774 0.226
S 0.094 0.887 0.113
Tl 0.440 0.488 0.512
CELL_PARAMETERS angstrom
7.426 0.000 0.000
0.000 9.908 0.018
0.000 -2.194 9.662
! Magnetization: 0.00 Bohr magnetons per cell
! Energy relative to the elements, uncorrected: 0.01 eV per atom
! DOS(E_F): 0.35 states/eV per atom

=====

# 2
! BeTc2As, optimized geometry, DFT PBE; values from VASP
&SYSTEM
  ibrav = 0, nat = 4, ntyp = 3
/
ATOMIC_SPECIES
As 74.92 As.upf
Tc 98.00 Tc.upf
Be 9.01 Be.upf
ATOMIC_POSITIONS crystal
As 0.000 0.000 0.513
Tc 0.000 0.000 0.983
Be 0.500 0.500 0.764
Tc 0.500 0.500 0.240
CELL_PARAMETERS angstrom
2.732 -0.018 0.000
-1.105 2.499 0.000
0.000 0.000 8.370
! Formation energy: 0.352 eV per atom
! Magnetization: 0.00 Bohr magnetons per cell
! DOS(E_F): 0.77 states/eV per atom
! Energy above the lowest structure with this stoichiometry: 2.07 eV per formula unit

=====

# 3
! AlCdSe2, optimized geometry, DFT PBE; values from VASP
&SYSTEM
  ibrav = 0, nat = 4, ntyp = 3
/
ATOMIC_SPECIES
Se 78.96 Se.upf
Cd 112.41 Cd.upf
Al 26.98 Al.upf
ATOMIC_POSITIONS crystal
Se 0.000 0.000 0.955
Se 0.500 0.500 0.322
Cd 0.500 0.500 0.736
Al 0.000 0.000 0.486
CELL_PARAMETERS angstrom
3.304 -0.023 0.000
-1.183 3.086 0.000
0.000 0.000 9.422
! Magnetization: 0.00 Bohr magnetons per cell
! Energy relative to the elements, uncorrected: 0.03 eV per atom
! DOS(E_F): 0.70 states/eV per atom
! Energy above the lowest structure with this stoichiometry: 2.23 eV per formula unit

=====

Please write out number 3 again, unchanged.
! AlCdSe2, optimized geometry, DFT PBE; values from VASP
&SYSTEM
  ibrav = 0, nat = 4, ntyp = 3
/
ATOMIC_SPECIES
Se 78.96 Se.upf
Cd 112.41 Cd.upf
Al 26.98 Al.upf
ATOMIC_POSITIONS crystal
Se 0.000 0.000 0.955
Se 0.500 0.500 0.322
Cd 0.500 0.500 0.736
Al 0.000 0.000 0.486
CELL_PARAMETERS angstrom
3.304 -0.023 0.000
-1.183 3.086 0.000
0.000 0.000 9.422
! Magnetization: 0.00 Bohr magnetons per cell
! Energy relative to the elements, uncorrected: 0.03 eV per atom
! DOS(E_F): 0.70 states/eV per atom
! Energy above the lowest structure with this stoichiometry: 2.23 eV per formula unit

=====

What is the formula in the first record? Tl3TeS6

=====

The highest DOS(E_F) belongs to which entry? BeTc2As